*P*
! PBE NpMnB4, relaxed; values from VASP
! - symmetry = No. 55
! - DOS(E_F) (states/eV per cell) = 26.33
&SYSTEM
  ibrav = 0, nat = 24, ntyp = 3
/
ATOMIC_SPECIES
Np 237.00 Np.upf
Mn 54.94 Mn.upf
B 10.81 B.upf
CELL_PARAMETERS angstrom
-2.4409 1.8090 1.4664
-3.9955 -2.5474 -3.5082
-1.4987 -8.2786 7.7182
ATOMIC_POSITIONS crystal
Np 0.0000 0.6255 0.3495
Np 0.0000 0.3745 0.6505
Np 0.0000 0.1255 0.1505
Np 0.0000 0.8745 0.8495
Mn 0.0000 0.6321 0.0887
Mn 0.0000 0.3679 0.9113
Mn 0.0000 0.1321 0.4113
Mn 0.0000 0.8679 0.5887
B 0.5000 0.7821 0.1854
B 0.5000 0.2179 0.8146
B 0.5000 0.2821 0.3146
B 0.5000 0.7179 0.6854
B 0.5000 0.8628 0.0331
B 0.5000 0.1372 0.9669
B 0.5000 0.3628 0.4669
B 0.5000 0.6372 0.5331
B 0.5000 0.8870 0.4541
B 0.5000 0.1130 0.5459
B 0.5000 0.3870 0.0459
B 0.5000 0.6130 0.9541
B 0.5000 0.9741 0.3093
B 0.5000 0.0259 0.6907
B 0.5000 0.4741 0.1907
B 0.5000 0.5259 0.8093

*Q*
! PBE NpMnB4, relaxed; values from VASP
! - symmetry = No. 216
! - DOS(E_F) (states/eV per cell) = 4.92
&SYSTEM
  ibrav = 0, nat = 6, ntyp = 3
/
ATOMIC_SPECIES
Np 237.00 Np.upf
B 10.81 B.upf
Mn 54.94 Mn.upf
CELL_PARAMETERS angstrom
4.3666 0.0000 0.0000
2.1833 3.7816 0.0000
2.1833 1.2605 3.5653
ATOMIC_POSITIONS crystal
Np 0.0000 0.0000 0.0000
B 0.6015 0.6015 0.1956
B 0.6015 0.1956 0.6015
B 0.6015 0.6015 0.6015
B 0.1956 0.6015 0.6015
Mn 0.2500 0.2500 0.2500

The structure shown above that is least stable: *Q*.